# 1
VASP calculation (GGA-PBE) on an optimized crystal structure of LiCaAcTl2.

Lattice parameters (Å, degrees): 5.5363 5.5363 6.3680 90.00 90.00 120.00
With the nearest neighbours (Å) after each atom.
Space group P3m1 (No. 156)
Asymmetric unit:
Li: 0.0000 0.0000 0.0000  2 Tl 3.01-3.36
Ca: 0.3333 0.6667 0.6902  5 Tl 3.08-3.36
Ac: 0.6667 0.3333 0.2929  6 Tl 3.29-3.53
Tl: 0.0000 0.0000 0.5281  2 Li 3.01-3.36, 3 Ca 3.36
Tl: 0.3333 0.6667 0.1734  2 Ca 3.08-3.29, 3 Ac 3.29, 3 Li 3.38

Values from the calculation:
N(E_F) in states/eV/f.u.: 4.45
ΔE_f in kJ/mol of atoms: -19
Theoretical density in g/cm³: 6.71

# 2
VASP calculation (GGA-PBE) on an optimized crystal structure of Sm5Pd2O12.

Lattice parameters (Å, degrees): 12.7129 6.0264 7.4470 90.00 107.12 90.00
With the nearest neighbours (Å) after each atom.
Space group C2/m (No. 12)
Asymmetric unit:
Sm: 0.0000 0.0000 0.0000  6 O 2.38
Sm: 0.1944 0.5000 0.3354  7 O 2.34-2.44
Sm: 0.1978 0.5000 0.8584  7 O 2.36-2.47
Pd: 0.0000 0.2469 0.5000  6 O 2.00-2.04
O: 0.9997 0.0000 0.3200  2 Pd 2.00
O: 0.0000 0.5000 0.3172  2 Pd 2.04
O: 0.1525 0.2491 0.0746  4 Sm 2.36-2.40
O: 0.1650 0.2641 0.5829  1 Pd 2.01

Values from the calculation:
N(E_F) in states/eV/f.u.: 15.12
Raw formation energy in eV per atom: -2.418
Theoretical density in g/cm³: 7.05

# 3
VASP calculation (GGA-PBE) on an optimized crystal structure of Pm4SmTm10.

Lattice parameters (Å, degrees): 12.1452 12.1452 7.6490 90.00 90.00 90.00
With the nearest neighbours (Å) after each atom.
Space group I4/m (No. 87)
Asymmetric unit:
Pm: 0.1003 0.2995 0.0000  8 Tm 3.32-3.33
Sm: 0.0000 0.0000 0.5000  8 Tm 3.32
Tm: 0.0000 0.5000 0.2500  4 Pm 3.33
Tm: 0.0994 0.8001 0.2505  1 Sm 3.32, 3 Pm 3.32

Values from the calculation:
N(E_F) in states/eV/f.u.: 22.91
ΔE_f in kJ/mol of atoms: 74
Theoretical density in g/cm³: 7.12